[1]
{
  "formula": "Zn2OsN",
  "functional": "PBE",
  "state": "optimized geometry",
  "total_magnetization_mub_per_cell": 0.0,
  "final_energy_ry_per_atom": -0.366,
  "formation_energy_uncorrected_ev_per_atom": 0.549,
  "cell": [[7.683, 0.000, 0.000], [0.000, 7.683, 0.000], [3.841, 3.841, 1.923]],
  "species": ["Zn", "Zn", "Zn", "Zn", "Os", "Os", "N", "N"],
  "frac_coords": [[0.520, 0.125, 0.250], [0.230, 0.625, 0.250], [0.375, 0.480, 0.750], [0.875, 0.770, 0.750], [0.000, 0.000, 0.000], [0.750, 0.250, 0.500], [0.500, 0.500, 0.000], [0.250, 0.750, 0.500]]
}



[2]
{
  "formula": "ZrPRh2",
  "functional": "PBE",
  "state": "optimized geometry",
  "total_magnetization_mub_per_cell": 0.0,
  "final_energy_ry_per_atom": -0.600,
  "formation_energy_kj_per_mol_atoms": -96.7,
  "cell": [[5.137, 0.000, 0.000], [0.000, 6.858, 0.000], [0.000, 0.000, 13.950]],
  "species": ["Zr", "Zr", "Zr", "Zr", "Zr", "Zr", "Zr", "Zr", "P", "P", "P", "P", "P", "P", "P", "P", "Rh", "Rh", "Rh", "Rh", "Rh", "Rh", "Rh", "Rh", "Rh", "Rh", "Rh", "Rh", "Rh", "Rh", "Rh", "Rh"],
  "frac_coords": [[0.468, 0.250, 0.136], [0.968, 0.750, 0.364], [0.532, 0.750, 0.864], [0.032, 0.250, 0.636], [0.764, 0.250, 0.389], [0.264, 0.750, 0.111], [0.236, 0.750, 0.611], [0.736, 0.250, 0.889], [0.250, 0.250, 0.317], [0.750, 0.750, 0.183], [0.750, 0.750, 0.683], [0.250, 0.250, 0.817], [0.972, 0.250, 0.068], [0.472, 0.750, 0.432], [0.028, 0.750, 0.932], [0.528, 0.250, 0.568], [0.967, 0.050, 0.214], [0.467, 0.950, 0.286], [0.033, 0.550, 0.786], [0.533, 0.450, 0.714], [0.033, 0.950, 0.786], [0.533, 0.050, 0.714], [0.967, 0.450, 0.214], [0.467, 0.550, 0.286], [0.748, 0.548, 0.035], [0.248, 0.452, 0.465], [0.252, 0.048, 0.965], [0.752, 0.952, 0.535], [0.252, 0.452, 0.965], [0.752, 0.548, 0.535], [0.748, 0.952, 0.035], [0.248, 0.048, 0.465]]
}



[3]
{
  "formula": "KBe3H",
  "functional": "PBE",
  "state": "optimized geometry",
  "total_magnetization_mub_per_cell": 0.0,
  "final_energy_ry_per_atom": -0.131,
  "cell": [[4.173, 0.000, 0.000], [0.000, 4.173, 0.000], [0.000, 0.000, 4.173]],
  "species": ["Be", "Be", "Be", "K", "H"],
  "frac_coords": [[0.000, 0.500, 0.000], [0.000, 0.000, 0.500], [0.500, 0.000, 0.000], [0.500, 0.500, 0.500], [0.000, 0.000, 0.000]]
}